(1)
AlSbIr: optimized geometry, GGA-PBE.

## Properties
- Magnetic moment: 0.00 μB per formula unit
- Uncorrected formation energy: -0.084 eV per atom
- E: -5.66 eV per atom
- V: 56.6 Å³ per cell

a b c (Å): 3.286 3.286 6.055
angles (deg): 90.00 90.00 120.00
Sites, in units of the cell vectors:
Ir  0.667  0.333  0.318
Al  0.000  0.000  0.038
Sb  0.333  0.667  0.644


(2)
AlTl2SbIr: optimized geometry, GGA-PBE.

## Properties
- Magnetic moment: 0.00 μB per formula unit
- Uncorrected formation energy: 0.421 eV per atom
- E: -3.87 eV per atom
- V: 145.0 Å³ per cell

a b c (Å): 5.288 5.186 5.288
angles (deg): 90.00 90.00 90.00
Sites, in units of the cell vectors:
Tl  0.000  0.000  0.500
Ir  0.000  0.000  0.000
Tl  0.500  0.000  0.000
Al  0.500  0.500  0.500
Sb  0.000  0.500  0.000


(3)
ScAlIr2: optimized geometry, GGA-PBE.

## Properties
- Magnetic moment: 0.00 μB per formula unit
- DFT formation energy: -2.2 eV/f.u.
- E: -7.50 eV per atom
- V: 64.8 Å³ per cell

a b c (Å): 3.395 3.395 5.623
angles (deg): 90.00 90.00 90.00
Sites, in units of the cell vectors:
Sc  0.000  0.000  0.479
Ir  0.500  0.500  0.284
Ir  0.000  0.000  0.955
Al  0.500  0.500  0.782


(4)
ScAl2Ir3: optimized geometry, GGA-PBE.

## Properties
- Magnetic moment: 0.00 μB per formula unit
- DFT formation energy: -5.8 eV/f.u.
- E: -7.70 eV per atom
- V: 88.6 Å³ per cell

a b c (Å): 3.019 3.019 9.724
angles (deg): 90.00 90.00 90.00
Sites, in units of the cell vectors:
Al  0.500  0.500  0.161
Ir  0.000  0.000  0.312
Al  0.500  0.500  0.839
Sc  0.500  0.500  0.500
Ir  0.000  0.000  0.000
Ir  0.000  0.000  0.688


(5)
Sc6AlIr5: optimized geometry, GGA-PBE.

## Properties
- Magnetic moment: 0.00 μB per formula unit
- DFT formation energy: -11.1 eV/f.u.
- E: -8.10 eV per atom
- V: 206.1 Å³ per cell

a b c (Å): 4.500 6.740 7.913
angles (deg): 115.20 106.52 90.00
Sites, in units of the cell vectors:
Ir  0.660  0.160  0.320
Sc  0.500  0.740  0.000
Sc  0.830  0.085  0.660
Ir  0.669  0.669  0.338
Ir  0.340  0.840  0.680
Sc  0.500  0.260  0.000
Sc  0.170  0.425  0.340
Al  0.000  0.000  0.000
Sc  0.170  0.915  0.340
Ir  0.000  0.500  0.000
Ir  0.331  0.331  0.662
Sc  0.830  0.575  0.660


(6)
ScAlIr2: optimized geometry, GGA-PBE.

## Properties
- Magnetic moment: 0.00 μB per formula unit
- DFT formation energy: -4.0 eV/f.u.
- E: -7.94 eV per atom
- V: 60.8 Å³ per cell

a b c (Å): 4.412 4.412 4.413
angles (deg): 119.99 119.99 90.00
Sites, in units of the cell vectors:
Al  0.750  0.250  0.500
Sc  0.250  0.750  0.500
Ir  0.000  0.000  0.000
Ir  0.500  0.500  0.000


(7)
ScAlIr2: optimized geometry, GGA-PBE.

## Properties
- Magnetic moment: 0.00 μB per formula unit
- DFT formation energy: -3.9 eV/f.u.
- E: -7.92 eV per atom
- V: 60.9 Å³ per cell

a b c (Å): 3.247 4.332 4.332
angles (deg): 90.00 90.00 90.00
Sites, in units of the cell vectors:
Ir  0.000  0.500  0.000
Sc  0.500  0.000  0.000
Al  0.500  0.500  0.500
Ir  0.000  0.000  0.500


(8)
Sc5AlIr: optimized geometry, GGA-PBE.

## Properties
- Magnetic moment: 0.00 μB per formula unit
- DFT formation energy: -2.1 eV/f.u.
- E: -6.63 eV per atom
- V: 301.8 Å³ per cell

a b c (Å): 5.256 5.256 11.262
angles (deg): 80.46 80.46 84.50
Sites, in units of the cell vectors:
Sc  0.919  0.567  0.124
Sc  0.016  0.984  0.750
Ir  0.000  0.000  0.000
Sc  0.567  0.919  0.624
Sc  0.488  0.803  0.921
Sc  0.433  0.081  0.376
Sc  0.197  0.512  0.579
Al  0.386  0.614  0.250
Ir  0.000  0.000  0.500
Sc  0.803  0.488  0.421
Al  0.614  0.386  0.750
Sc  0.081  0.433  0.876
Sc  0.512  0.197  0.079
Sc  0.984  0.016  0.250